P:
First-principles (PBE) data for a relaxed structure of Pr2Ag2Au, as listed in Alexandria via LeMat-Bulk.

Cell lengths 5.6301, 5.6301, 6.1256 Å; angles 96.71, 96.71, 45.29 degrees
Closest atoms and distances in Å follow each position.
Sites, in units of the cell vectors:
Pr 0.1960 0.1960 0.2188  5 Ag 3.09-3.25, 2 Au 3.15
Pr 0.8040 0.8040 0.7812  5 Ag 3.09-3.25, 2 Au 3.15
Ag 0.0914 0.0914 0.6950  1 Ag 2.86, 2 Au 3.09, 3 Pr 3.09-3.10
Ag 0.9086 0.9086 0.3050  1 Ag 2.86, 2 Au 3.09, 3 Pr 3.09-3.10
Au 0.5000 0.5000 0.0000  4 Ag 3.09, 4 Pr 3.15

Calculated values
Space group = No. 12
M_tot = 0.0 μB per cell
Density = 8426 kg/m3

Q:
First-principles (PBE) data for a relaxed structure of Pr2Ag2Au, as listed in Alexandria via LeMat-Bulk.

Cell lengths 5.8439, 5.8439, 11.9831 Å; angles 109.03, 109.03, 42.21 degrees
Closest atoms and distances in Å follow each position.
Sites, in units of the cell vectors:
Pr 0.0042 0.0042 0.3362  3 Au 3.13-3.16, 6 Ag 3.21-3.37
Pr 0.1847 0.1847 0.1121  5 Ag 3.06-3.31, 2 Au 3.13
Pr 0.8153 0.8153 0.8879  5 Ag 3.06-3.31, 2 Au 3.13
Pr 0.9958 0.9958 0.6638  3 Au 3.13-3.16, 6 Ag 3.21-3.37
Ag 0.3522 0.3522 0.4566  3 Au 2.84-3.06, 1 Ag 3.02
Ag 0.4636 0.4636 0.1068  1 Au 2.91, 1 Ag 2.93, 3 Pr 3.06-3.18
Ag 0.5364 0.5364 0.8932  1 Au 2.91, 1 Ag 2.93, 3 Pr 3.06-3.18
Ag 0.6478 0.6478 0.5434  3 Au 2.84-3.06, 1 Ag 3.02
Au 0.2943 0.2943 0.6889  4 Ag 2.84-3.06, 5 Pr 3.13-3.16
Au 0.7057 0.7057 0.3111  4 Ag 2.84-3.06, 5 Pr 3.13-3.16

Calculated values
Space group = No. 12
M_tot = 0.0 μB per cell
Density = 8953 kg/m3

Pick Q: it beats the second-best structure by 186 meV per atom.

P:
First-principles (PBE) data for a relaxed structure of PrZnAgAu, as listed in Alexandria via LeMat-Bulk.

Cell lengths 4.6581, 4.6581, 5.4376 Å; angles 115.28, 115.28, 60.01 degrees
Closest atoms and distances in Å follow each position.
Sites, in units of the cell vectors:
Pr 0.0000 0.0000 0.0000  4 Ag 3.08-3.16, 4 Au 3.09-3.15
Zn 0.5140 0.5140 0.5419  3 Au 2.74, 3 Ag 2.84
Ag 0.7830 0.7830 0.3486  3 Zn 2.84, 3 Au 3.05, 4 Pr 3.08-3.16
Au 0.2180 0.2180 0.6542  3 Zn 2.74, 3 Ag 3.05

Calculated values
Space group = No. 8
M_tot = 0.0 μB per cell
Density = 9548 kg/m3

Q:
First-principles (PBE) data for a relaxed structure of PrZnAgAu, as listed in Alexandria via LeMat-Bulk.

Cell lengths 4.9626, 4.9626, 4.9626 Å; angles 60.00, 60.00, 60.00 degrees
Closest atoms and distances in Å follow each position.
Sites, in units of the cell vectors:
Pr 0.0000 0.0000 0.0000  4 Zn 3.04, 4 Au 3.04
Zn 0.7500 0.7500 0.7500  4 Ag 3.04, 4 Pr 3.04
Ag 0.5000 0.5000 0.5000  4 Zn 3.04, 4 Au 3.04
Au 0.2500 0.2500 0.2500  4 Ag 3.04, 4 Pr 3.04

Calculated values
Space group = No. 216
M_tot = 0.0 μB per cell
Density = 9822 kg/m3

Pick P: it beats the second-best structure by 29 meV per atom.